Arrangement P

Here is LiMoP2O8 after structural relaxation from the Alexandria database. Energies are from GGA+U.

a b c (Å): 4.9187 5.0953 8.2661
angles (deg): 96.00 90.88 118.57
Closest atoms and distances in Å follow each position.
Space group P1 (No. 1)
One atom of each set of equivalent atoms:
Li: 0.0000 0.0000 0.0000 [1 per cell]  2 O 1.84-1.93
Mo: 0.3794 0.2863 0.4258 [1 per cell]  5 O 1.90-2.01
P: 0.0461 0.5909 0.2137 [1 per cell]  4 O 1.49-1.60
P: 0.7121 0.9893 0.6339 [1 per cell]  4 O 1.48-1.60
O: 0.1545 0.3481 0.2215 [1 per cell]  1 P 1.57
O: 0.3082 0.8963 0.3005 [1 per cell]  1 P 1.55
O: 0.4584 0.6721 0.5567 [1 per cell]  1 P 1.55
O: 0.5853 0.2137 0.6133 [1 per cell]  1 P 1.56
O: 0.7624 0.4920 0.3274 [1 per cell]  1 P 1.60
O: 0.8250 0.0098 0.8042 [1 per cell]  1 P 1.48
O: 0.9485 0.6152 0.0467 [1 per cell]  1 P 1.49
O: 0.9880 0.0821 0.5150 [1 per cell]  1 P 1.60

Results
Mass density in Mg/m³: 2.69

***

Arrangement Q

Here is LiMoP2O8 after structural relaxation from the Alexandria database. Energies are from GGA+U.

a b c (Å): 4.9788 4.9788 8.7147
angles (deg): 90.00 90.00 120.00
Closest atoms and distances in Å follow each position.
Space group P3 (No. 143)
One atom of each set of equivalent atoms:
Li: 0.0000 0.0000 0.0000 [1 per cell]  1 O 1.80
Mo: 0.6667 0.3333 0.4223 [1 per cell]  6 O 1.97-2.00
P: 0.0000 0.0000 0.6231 [1 per cell]  4 O 1.48-1.56
P: 0.3333 0.6667 0.2190 [1 per cell]  4 O 1.50-1.57
O: 0.0000 0.0000 0.7933 [1 per cell]  1 P 1.48
O: 0.0192 0.6175 0.2858 [3 per cell]  1 P 1.57
O: 0.3134 0.0547 0.5539 [3 per cell]  1 P 1.56
O: 0.3333 0.6667 0.0470 [1 per cell]  1 P 1.50

Results
Mass density in Mg/m³: 2.60

***

What is the stability order? It is arrangement P, arrangement Q, from most stable to least stable.